Computed, not measured: a relaxed VHgS2 crystal at the PBE level of DFT.

Raw formation energy (eV/atom): -0.344
Fermi-level density of states (states/eV per atom): 0.43
Theoretical density (Mg/m³): 4.691
Magnetic moment (μB per cell): 3.020

CIF file:
```
data_VHgS2
_chemical_formula_sum 'V3 Hg3 S6'
_space_group_name_H-M_alt 'R 3 m'
_space_group_IT_number 160
_space_group_name_Hall 'R 3 -2"'
_cell_length_a 3.6916
_cell_length_b 3.6916
_cell_length_c 28.4011
_cell_angle_alpha 90.00
_cell_angle_beta 90.00
_cell_angle_gamma 120.00
loop_
_atom_site_label
_atom_site_type_symbol
_atom_site_fract_x
_atom_site_fract_y
_atom_site_fract_z
V1 V 0.0000 0.0000 0.0000
Hg1 Hg 0.0000 0.0000 0.4999
S1 S 0.0000 0.0000 0.0721
S2 S 0.0000 0.0000 0.6354
```